Density functional theory data (PBE-GGA) for CsScGa3 after structural relaxation.

Computed properties:
The formation energy is 0.234 eV per atom. For the mass density, the calculation gives 3818 kg/m3. The value obtained for the density of states at the Fermi level is 5.69 states/eV/f.u. The energy above the most stable polymorph in this dataset comes out at 0.000 eV per atom. The magnetic moment comes out at 0.0 μB/f.u.

```
CsScGa3
1.0
5.521 0.000 0.000
0.000 5.521 0.000
0.000 0.000 5.521
Ga Cs Sc
3 1 1
Direct
0.000 0.500 0.000
0.000 0.000 0.500
0.500 0.000 0.000
0.500 0.500 0.500
0.000 0.000 0.000
```

---

Density functional theory data (PBE-GGA) for CsSc2Ga2 after structural relaxation.

Computed properties:
The formation energy is -0.071 eV per atom. For the mass density, the calculation gives 4817 kg/m3. The value obtained for the density of states at the Fermi level is 2.15 states/eV/f.u. The magnetic moment comes out at 0.0 μB/f.u.

```
CsSc2Ga2
1.0
8.835 0.000 0.000
0.000 8.835 0.000
0.000 0.000 3.200
Ga Sc Cs
4 4 2
Direct
0.665 0.835 0.500
0.165 0.665 0.500
0.835 0.335 0.500
0.335 0.165 0.500
0.874 0.626 0.000
0.126 0.374 0.000
0.626 0.126 0.000
0.374 0.874 0.000
0.000 0.000 0.000
0.500 0.500 0.000
```

---

- Which of these has the highest mass density?
  CsSc2Ga2

---

- What is the formula in the first record?
  CsScGa3